Model i:
! Pr2HRh (GGA-PBE, optimized geometry); values from VASP
&SYSTEM
  ibrav = 0, nat = 4, ntyp = 3
/
ATOMIC_SPECIES
Pr 140.91 Pr.upf
H 1.01 H.upf
Rh 102.91 Rh.upf
CELL_PARAMETERS angstrom
3.3877 0.0000 0.0000
0.0000 3.3877 0.0000
0.0000 0.0000 7.1971
ATOMIC_POSITIONS crystal
Pr 0.0000 0.0000 0.2467
Pr 0.0000 0.0000 0.7533
H 0.5000 0.5000 0.0000
Rh 0.5000 0.5000 0.5000
! - space-group type = No. 123
! - V (Å³/atom) = 20.65
! - size of the total moment (μB/f.u.) = 0.00
! - ρ (Mg/m³) = 7.755



Model ii:
! Pr2HRh (GGA-PBE, optimized geometry); values from VASP
&SYSTEM
  ibrav = 0, nat = 4, ntyp = 3
/
ATOMIC_SPECIES
Pr 140.91 Pr.upf
H 1.01 H.upf
Rh 102.91 Rh.upf
CELL_PARAMETERS angstrom
2.0375 1.1764 6.2444
-2.0375 1.1764 6.2444
0.0000 -2.3528 6.2444
ATOMIC_POSITIONS crystal
Pr 0.2461 0.2461 0.2461
Pr 0.7539 0.7539 0.7539
H 0.5000 0.5000 0.5000
Rh 0.0000 0.0000 0.0000
! - space-group type = No. 166
! - V (Å³/atom) = 22.45
! - size of the total moment (μB/f.u.) = 0.00
! - ρ (Mg/m³) = 7.132



Model iii:
! Pr2HRh (GGA-PBE, optimized geometry); values from VASP
&SYSTEM
  ibrav = 0, nat = 4, ntyp = 3
/
ATOMIC_SPECIES
Pr 140.91 Pr.upf
H 1.01 H.upf
Rh 102.91 Rh.upf
CELL_PARAMETERS angstrom
1.9423 1.1214 7.0680
-1.9423 1.1214 7.0680
0.0000 -2.2428 7.0680
ATOMIC_POSITIONS crystal
Pr 0.0000 0.0000 0.0000
Pr 0.1689 0.1689 0.1689
H 0.7544 0.7544 0.7544
Rh 0.5846 0.5846 0.5846
! - space-group type = No. 160
! - V (Å³/atom) = 23.09
! - size of the total moment (μB/f.u.) = 0.00
! - ρ (Mg/m³) = 6.935



Model iv:
! Pr2HRh (GGA-PBE, optimized geometry); values from VASP
&SYSTEM
  ibrav = 0, nat = 8, ntyp = 3
/
ATOMIC_SPECIES
Pr 140.91 Pr.upf
H 1.01 H.upf
Rh 102.91 Rh.upf
CELL_PARAMETERS angstrom
7.0901 -1.9370 0.0000
7.0901 1.9370 0.0000
-2.8703 0.0000 6.6067
ATOMIC_POSITIONS crystal
Pr 0.0147 0.0147 0.2554
Pr 0.2832 0.2832 0.2489
Pr 0.7168 0.7168 0.7511
Pr 0.9853 0.9853 0.7446
H 0.1119 0.1119 0.6042
H 0.8881 0.8881 0.3958
Rh 0.3837 0.3837 0.9425
Rh 0.6163 0.6163 0.0575
! - space-group type = No. 12
! - V (Å³/atom) = 22.68
! - size of the total moment (μB/f.u.) = 0.00
! - ρ (Mg/m³) = 7.059



Relative energies, unit kJ/mol of atoms: model i 25.0; model ii 6.7; model iii 15.9; model iv 0.0



Model i:
! Pr2HRu (GGA-PBE, optimized geometry); values from VASP
&SYSTEM
  ibrav = 0, nat = 4, ntyp = 3
/
ATOMIC_SPECIES
Pr 140.91 Pr.upf
H 1.01 H.upf
Ru 101.07 Ru.upf
CELL_PARAMETERS angstrom
2.0424 1.1792 6.1694
-2.0424 1.1792 6.1694
0.0000 -2.3583 6.1694
ATOMIC_POSITIONS crystal
Pr 0.2473 0.2473 0.2473
Pr 0.7527 0.7527 0.7527
H 0.5000 0.5000 0.5000
Ru 0.0000 0.0000 0.0000
! - space-group type = No. 166
! - V (Å³/atom) = 22.29
! - size of the total moment (μB/f.u.) = 0.00
! - ρ (Mg/m³) = 7.151



Model ii:
! Pr2HRu (GGA-PBE, optimized geometry); values from VASP
&SYSTEM
  ibrav = 0, nat = 16, ntyp = 3
/
ATOMIC_SPECIES
Pr 140.91 Pr.upf
H 1.01 H.upf
Ru 101.07 Ru.upf
CELL_PARAMETERS angstrom
5.7733 0.0000 0.0000
0.0000 5.5295 0.0000
-5.0196 0.0000 11.0476
ATOMIC_POSITIONS crystal
Pr 0.0796 0.2501 0.1167
Pr 0.0796 0.7499 0.6167
Pr 0.3627 0.2497 0.8700
Pr 0.3627 0.7503 0.3700
Pr 0.6373 0.2497 0.6300
Pr 0.6373 0.7503 0.1300
Pr 0.9204 0.2501 0.3833
Pr 0.9204 0.7499 0.8833
H 0.0675 0.2495 0.6232
H 0.0675 0.7505 0.1232
H 0.9325 0.2495 0.8768
H 0.9325 0.7505 0.3768
Ru 0.4130 0.2503 0.3608
Ru 0.4130 0.7497 0.8608
Ru 0.5870 0.2503 0.1392
Ru 0.5870 0.7497 0.6392
! - space-group type = No. 13
! - V (Å³/atom) = 22.04
! - size of the total moment (μB/f.u.) = 0.00
! - ρ (Mg/m³) = 7.230



Relative energies, unit kJ/mol of atoms: model i 7.5; model ii 0.0



Model i:
! Pr2HRu (GGA-PBE, optimized geometry); values from VASP
&SYSTEM
  ibrav = 0, nat = 4, ntyp = 3
/
ATOMIC_SPECIES
Pr 140.91 Pr.upf
H 1.01 H.upf
Ru 101.07 Ru.upf
CELL_PARAMETERS angstrom
1.8130 1.0467 7.4192
-1.8130 1.0467 7.4192
0.0000 -2.0935 7.4192
ATOMIC_POSITIONS crystal
Pr 0.0000 0.0000 0.0000
Pr 0.1543 0.1543 0.1543
H 0.4109 0.4109 0.4109
Ru 0.5776 0.5776 0.5776
! - space-group type = No. 160
! - V (Å³/atom) = 21.12
! - size of the total moment (μB/f.u.) = 0.00
! - ρ (Mg/m³) = 7.546



Model ii:
! Pr2HRu (GGA-PBE, optimized geometry); values from VASP
&SYSTEM
  ibrav = 0, nat = 4, ntyp = 3
/
ATOMIC_SPECIES
Pr 140.91 Pr.upf
H 1.01 H.upf
Ru 101.07 Ru.upf
CELL_PARAMETERS angstrom
3.3664 0.0000 0.0000
0.0000 3.3664 0.0000
0.0000 0.0000 7.2618
ATOMIC_POSITIONS crystal
Pr 0.0000 0.0000 0.2488
Pr 0.0000 0.0000 0.7512
H 0.5000 0.5000 0.5000
Ru 0.5000 0.5000 0.0000
! - space-group type = No. 123
! - V (Å³/atom) = 20.57
! - size of the total moment (μB/f.u.) = 0.00
! - ρ (Mg/m³) = 7.746



Relative energies, unit kJ/mol of atoms: model i 4.1; model ii 0.0



Model i:
! PrH4Ru (GGA-PBE, optimized geometry); values from VASP
&SYSTEM
  ibrav = 0, nat = 12, ntyp = 3
/
ATOMIC_SPECIES
Pr 140.91 Pr.upf
H 1.01 H.upf
Ru 101.07 Ru.upf
CELL_PARAMETERS angstrom
2.5650 -4.8132 0.0000
2.5650 4.8132 0.0000
-1.5967 0.0000 5.3496
ATOMIC_POSITIONS crystal
Pr 0.1404 0.8596 0.7500
Pr 0.8596 0.1404 0.2500
H 0.0825 0.2333 0.6701
H 0.2333 0.0825 0.1701
H 0.3701 0.6119 0.0360
H 0.3881 0.6299 0.4640
H 0.6119 0.3701 0.5360
H 0.6299 0.3881 0.9640
H 0.7667 0.9175 0.8299
H 0.9175 0.7667 0.3299
Ru 0.4500 0.5500 0.7500
Ru 0.5500 0.4500 0.2500
! - space-group type = No. 15
! - V (Å³/atom) = 11.01
! - size of the total moment (μB/f.u.) = 0.00
! - ρ (Mg/m³) = 6.185



Model ii:
! PrH4Ru (GGA-PBE, optimized geometry); values from VASP
&SYSTEM
  ibrav = 0, nat = 12, ntyp = 3
/
ATOMIC_SPECIES
Pr 140.91 Pr.upf
H 1.01 H.upf
Ru 101.07 Ru.upf
CELL_PARAMETERS angstrom
1.9693 -6.0523 0.0000
1.9693 6.0523 0.0000
0.0000 0.0000 4.9886
ATOMIC_POSITIONS crystal
Pr 0.1289 0.8711 0.7500
Pr 0.8711 0.1289 0.2500
H 0.0962 0.9038 0.2500
H 0.3043 0.6957 0.5060
H 0.3043 0.6957 0.9940
H 0.5000 0.5000 0.0000
H 0.5000 0.5000 0.5000
H 0.6957 0.3043 0.0060
H 0.6957 0.3043 0.4940
H 0.9038 0.0962 0.7500
Ru 0.4012 0.5988 0.7500
Ru 0.5988 0.4012 0.2500
! - space-group type = No. 63
! - V (Å³/atom) = 9.91
! - size of the total moment (μB/f.u.) = 0.00
! - ρ (Mg/m³) = 6.871



Relative energies, unit kJ/mol of atoms: model i 9.9; model ii 0.0



Model i:
! PrH6Ru (GGA-PBE, optimized geometry); values from VASP
&SYSTEM
  ibrav = 0, nat = 8, ntyp = 3
/
ATOMIC_SPECIES
Pr 140.91 Pr.upf
H 1.01 H.upf
Ru 101.07 Ru.upf
CELL_PARAMETERS angstrom
2.3836 1.3761 3.4896
-2.3836 1.3761 3.4896
0.0000 -2.7523 3.4896
ATOMIC_POSITIONS crystal
Pr 0.0000 0.0000 0.0000
H 0.0596 0.6138 0.6138
H 0.3862 0.3862 0.9404
H 0.3862 0.9404 0.3862
H 0.6138 0.0596 0.6138
H 0.6138 0.6138 0.0596
H 0.9404 0.3862 0.3862
Ru 0.5000 0.5000 0.5000
! - space-group type = No. 166
! - V (Å³/atom) = 8.58
! - size of the total moment (μB/f.u.) = 0.60
! - ρ (Mg/m³) = 5.997



Model ii:
! PrH6Ru (GGA-PBE, optimized geometry); values from VASP
&SYSTEM
  ibrav = 0, nat = 8, ntyp = 3
/
ATOMIC_SPECIES
Pr 140.91 Pr.upf
H 1.01 H.upf
Ru 101.07 Ru.upf
CELL_PARAMETERS angstrom
2.7003 -3.1562 0.0000
2.7003 3.1562 0.0000
-0.7858 0.0000 4.3206
ATOMIC_POSITIONS crystal
Pr 0.0000 0.0000 0.0000
H 0.1939 0.1939 0.5524
H 0.2283 0.5671 0.2002
H 0.4329 0.7717 0.7998
H 0.5671 0.2283 0.2002
H 0.7717 0.4329 0.7998
H 0.8061 0.8061 0.4476
Ru 0.5000 0.5000 0.5000
! - space-group type = No. 12
! - V (Å³/atom) = 9.21
! - size of the total moment (μB/f.u.) = 1.00
! - ρ (Mg/m³) = 5.592



Relative energies, unit kJ/mol of atoms: model i 0.0; model ii 4.3



Model i:
! PrHRu (GGA-PBE, optimized geometry); values from VASP
&SYSTEM
  ibrav = 0, nat = 3, ntyp = 3
/
ATOMIC_SPECIES
Pr 140.91 Pr.upf
H 1.01 H.upf
Ru 101.07 Ru.upf
CELL_PARAMETERS angstrom
3.3957 0.0000 0.0000
-1.6979 2.9408 0.0000
0.0000 0.0000 4.6546
ATOMIC_POSITIONS crystal
Pr 0.0000 0.0000 0.0000
H 0.3333 0.6667 0.4985
Ru 0.6667 0.3333 0.4999
! - space-group type = No. 156
! - V (Å³/atom) = 15.49
! - size of the total moment (μB/f.u.) = 0.00
! - ρ (Mg/m³) = 8.681



Model ii:
! PrHRu (GGA-PBE, optimized geometry); values from VASP
&SYSTEM
  ibrav = 0, nat = 6, ntyp = 3
/
ATOMIC_SPECIES
Pr 140.91 Pr.upf
H 1.01 H.upf
Ru 101.07 Ru.upf
CELL_PARAMETERS angstrom
1.6030 -8.1219 0.0000
1.6030 8.1219 0.0000
0.0000 0.0000 3.8140
ATOMIC_POSITIONS crystal
Pr 0.0938 0.9062 0.7500
Pr 0.9062 0.0938 0.2500
H 0.4554 0.5446 0.7500
H 0.5446 0.4554 0.2500
Ru 0.2320 0.7680 0.2500
Ru 0.7680 0.2320 0.7500
! - space-group type = No. 63
! - V (Å³/atom) = 16.55
! - size of the total moment (μB/f.u.) = 0.00
! - ρ (Mg/m³) = 8.125



Relative energies, unit kJ/mol of atoms: model i 4.8; model ii 0.0



Model i:
! Pr2HS (GGA-PBE, optimized geometry); values from VASP
&SYSTEM
  ibrav = 0, nat = 4, ntyp = 3
/
ATOMIC_SPECIES
Pr 140.91 Pr.upf
H 1.01 H.upf
S 32.06 S.upf
CELL_PARAMETERS angstrom
1.9840 1.1455 6.3681
-1.9840 1.1455 6.3681
0.0000 -2.2910 6.3681
ATOMIC_POSITIONS crystal
Pr 0.2474 0.2474 0.2474
Pr 0.7526 0.7526 0.7526
H 0.5000 0.5000 0.5000
S 0.0000 0.0000 0.0000
! - space-group type = No. 166
! - V (Å³/atom) = 21.71
! - size of the total moment (μB/f.u.) = 0.36
! - ρ (Mg/m³) = 6.022



Model ii:
! Pr2HS (GGA-PBE, optimized geometry); values from VASP
&SYSTEM
  ibrav = 0, nat = 4, ntyp = 3
/
ATOMIC_SPECIES
Pr 140.91 Pr.upf
H 1.01 H.upf
S 32.06 S.upf
CELL_PARAMETERS angstrom
1.9324 1.1157 6.8252
-1.9324 1.1157 6.8252
0.0000 -2.2313 6.8252
ATOMIC_POSITIONS crystal
Pr 0.0000 0.0000 0.0000
Pr 0.1666 0.1666 0.1666
H 0.4073 0.4073 0.4073
S 0.5833 0.5833 0.5833
! - space-group type = No. 160
! - V (Å³/atom) = 22.07
! - size of the total moment (μB/f.u.) = 0.00
! - ρ (Mg/m³) = 5.923



Relative energies, unit kJ/mol of atoms: model i 0.0; model ii 11.8



Model i:
! Pr3SbH (GGA-PBE, optimized geometry); values from VASP
&SYSTEM
  ibrav = 0, nat = 5, ntyp = 3
/
ATOMIC_SPECIES
Pr 140.91 Pr.upf
Sb 121.76 Sb.upf
H 1.01 H.upf
CELL_PARAMETERS angstrom
5.0011 0.0000 0.0000
0.0000 5.0011 0.0000
0.0000 0.0000 5.0011
ATOMIC_POSITIONS crystal
Pr 0.0000 0.0000 0.5000
Pr 0.0000 0.5000 0.0000
Pr 0.5000 0.0000 0.0000
Sb 0.5000 0.5000 0.5000
H 0.0000 0.0000 0.0000
! - space-group type = No. 221
! - V (Å³/atom) = 25.02
! - size of the total moment (μB/f.u.) = 0.00
! - ρ (Mg/m³) = 7.242



Model ii:
! Pr3SbH (GGA-PBE, optimized geometry); values from VASP
&SYSTEM
  ibrav = 0, nat = 10, ntyp = 3
/
ATOMIC_SPECIES
Pr 140.91 Pr.upf
Sb 121.76 Sb.upf
H 1.01 H.upf
CELL_PARAMETERS angstrom
4.2614 0.0000 0.0000
2.1304 7.5997 0.0000
0.0026 0.3924 8.8179
ATOMIC_POSITIONS crystal
Pr 0.0302 0.4402 0.2989
Pr 0.2434 0.0123 0.7003
Pr 0.3857 0.7292 0.0484
Pr 0.6143 0.2708 0.9516
Pr 0.7566 0.9877 0.2997
Pr 0.9698 0.5598 0.7011
Sb 0.3873 0.7260 0.4445
Sb 0.6127 0.2740 0.5555
H 0.1114 0.2769 0.8402
H 0.8886 0.7231 0.1598
! - space-group type = No. 2
! - V (Å³/atom) = 28.56
! - size of the total moment (μB/f.u.) = 0.00
! - ρ (Mg/m³) = 6.344



Relative energies, unit kJ/mol of atoms: model i 0.0; model ii 1.9



Model i:
! PrSbH (GGA-PBE, optimized geometry); values from VASP
&SYSTEM
  ibrav = 0, nat = 12, ntyp = 3
/
ATOMIC_SPECIES
Pr 140.91 Pr.upf
Sb 121.76 Sb.upf
H 1.01 H.upf
CELL_PARAMETERS angstrom
4.4635 -4.6080 0.0000
4.4635 4.6080 0.0000
-4.1007 0.0000 6.5728
ATOMIC_POSITIONS crystal
Pr 0.1342 0.8658 0.5000
Pr 0.4056 0.8909 0.1003
Pr 0.8658 0.1342 0.0000
Pr 0.8909 0.4056 0.6003
Sb 0.3101 0.3405 0.4372
Sb 0.3405 0.3101 0.9372
Sb 0.6278 0.7982 0.5076
Sb 0.7982 0.6278 0.0076
H 0.0765 0.8841 0.1662
H 0.1580 0.7378 0.7534
H 0.7378 0.1580 0.2534
H 0.8841 0.0765 0.6662
! - space-group type = No. 9
! - V (Å³/atom) = 22.53
! - size of the total moment (μB/f.u.) = 0.00
! - ρ (Mg/m³) = 6.478



Model ii:
! PrSbH (GGA-PBE, optimized geometry); values from VASP
&SYSTEM
  ibrav = 0, nat = 6, ntyp = 3
/
ATOMIC_SPECIES
Pr 140.91 Pr.upf
Sb 121.76 Sb.upf
H 1.01 H.upf
CELL_PARAMETERS angstrom
-2.0117 2.0117 8.2238
2.0117 -2.0117 8.2238
2.0117 2.0117 -8.2238
ATOMIC_POSITIONS crystal
Pr 0.1017 0.1017 0.0000
Pr 0.8983 0.8983 0.0000
Sb 0.3047 0.3047 0.0000
Sb 0.6953 0.6953 0.0000
H 0.0000 0.5000 0.5000
H 0.5000 0.0000 0.5000
! - space-group type = No. 139
! - V (Å³/atom) = 22.19
! - size of the total moment (μB/f.u.) = 0.00
! - ρ (Mg/m³) = 6.578



Model iii:
! PrSbH (GGA-PBE, optimized geometry); values from VASP
&SYSTEM
  ibrav = 0, nat = 3, ntyp = 3
/
ATOMIC_SPECIES
Pr 140.91 Pr.upf
Sb 121.76 Sb.upf
H 1.01 H.upf
CELL_PARAMETERS angstrom
3.9588 0.0000 0.0000
-1.9794 3.4284 0.0000
0.0000 0.0000 4.8242
ATOMIC_POSITIONS crystal
Pr 0.0000 0.0000 0.0000
Sb 0.6667 0.3333 0.5000
H 0.3333 0.6667 0.0000
! - space-group type = No. 187
! - V (Å³/atom) = 21.82
! - size of the total moment (μB/f.u.) = 0.00
! - ρ (Mg/m³) = 6.687



Relative energies, unit kJ/mol of atoms: model i 10.8; model ii 21.2; model iii 0.0



Model i:
! PrSbH (GGA-PBE, optimized geometry); values from VASP
&SYSTEM
  ibrav = 0, nat = 12, ntyp = 3
/
ATOMIC_SPECIES
Pr 140.91 Pr.upf
Sb 121.76 Sb.upf
H 1.01 H.upf
CELL_PARAMETERS angstrom
0.0000 4.8223 6.5055
4.4966 0.0000 6.5055
4.4966 4.8223 0.0000
ATOMIC_POSITIONS crystal
Pr 0.2307 0.7693 0.2586
Pr 0.5086 0.9914 0.4807
Pr 0.7693 0.2307 0.7414
Pr 0.9914 0.5086 0.0193
Sb 0.0233 0.4846 0.5172
Sb 0.2751 0.7328 0.7654
Sb 0.4846 0.0233 0.9749
Sb 0.7328 0.2751 0.2267
H 0.6251 0.7093 0.2884
H 0.7093 0.6251 0.3772
H 0.8728 0.9616 0.5407
H 0.9616 0.8728 0.6249
! - space-group type = No. 43
! - V (Å³/atom) = 23.51
! - size of the total moment (μB/f.u.) = 0.00
! - ρ (Mg/m³) = 6.208



Model ii:
! PrSbH (GGA-PBE, optimized geometry); values from VASP
&SYSTEM
  ibrav = 0, nat = 3, ntyp = 3
/
ATOMIC_SPECIES
Pr 140.91 Pr.upf
Sb 121.76 Sb.upf
H 1.01 H.upf
CELL_PARAMETERS angstrom
-1.6876 1.6876 5.7612
1.6876 -1.6876 5.7612
1.6876 1.6876 -5.7612
ATOMIC_POSITIONS crystal
Pr 0.0000 0.0000 0.0000
Sb 0.2863 0.2863 0.0000
H 0.5563 0.5563 0.0000
! - space-group type = No. 107
! - V (Å³/atom) = 21.88
! - size of the total moment (μB/f.u.) = 0.00
! - ρ (Mg/m³) = 6.671



Relative energies, unit kJ/mol of atoms: model i 0.0; model ii 19.5



Model i:
! Pr4Sb2H (GGA-PBE, optimized geometry); values from VASP
&SYSTEM
  ibrav = 0, nat = 14, ntyp = 3
/
ATOMIC_SPECIES
Pr 140.91 Pr.upf
Sb 121.76 Sb.upf
H 1.01 H.upf
CELL_PARAMETERS angstrom
7.2087 0.0000 0.0000
0.0000 6.5425 0.0000
-2.6693 0.0000 8.5127
ATOMIC_POSITIONS crystal
Pr 0.0079 0.0008 0.2768
Pr 0.0079 0.4992 0.2768
Pr 0.3838 0.7500 0.0774
Pr 0.4230 0.7500 0.6275
Pr 0.5770 0.2500 0.3725
Pr 0.6162 0.2500 0.9226
Pr 0.9921 0.5008 0.7232
Pr 0.9921 0.9992 0.7232
Sb 0.2328 0.2500 0.0488
Sb 0.2960 0.2500 0.5830
Sb 0.7040 0.7500 0.4170
Sb 0.7672 0.7500 0.9512
H 0.2338 0.7500 0.8048
H 0.7662 0.2500 0.1952
! - space-group type = No. 11
! - V (Å³/atom) = 28.68
! - size of the total moment (μB/f.u.) = 0.00
! - ρ (Mg/m³) = 6.685



Model ii:
! Pr4Sb2H (GGA-PBE, optimized geometry); values from VASP
&SYSTEM
  ibrav = 0, nat = 7, ntyp = 3
/
ATOMIC_SPECIES
Pr 140.91 Pr.upf
Sb 121.76 Sb.upf
H 1.01 H.upf
CELL_PARAMETERS angstrom
-2.3273 2.3273 8.9165
2.3273 -2.3273 8.9165
2.3273 2.3273 -8.9165
ATOMIC_POSITIONS crystal
Pr 0.0000 0.5000 0.5000
Pr 0.1788 0.1788 0.0000
Pr 0.5000 0.0000 0.5000
Pr 0.8212 0.8212 0.0000
Sb 0.3621 0.3621 0.0000
Sb 0.6379 0.6379 0.0000
H 0.0000 0.0000 0.0000
! - space-group type = No. 139
! - V (Å³/atom) = 27.60
! - size of the total moment (μB/f.u.) = 0.01
! - ρ (Mg/m³) = 6.947



Relative energies, unit kJ/mol of atoms: model i 3.5; model ii 0.0